[1]
Here is a relaxed structure of K3AlTe from Alexandria. Energies are from PBE.

Cell and atoms, written as POSCAR:
```
K3AlTe
1.0
6.6368 0.0000 0.0000
0.0000 6.6368 0.0000
0.0000 0.0000 6.6368
K Al Te
3 1 1
Cartesian
0.0000 0.0000 3.3184
0.0000 3.3184 0.0000
3.3184 0.0000 0.0000
3.3184 3.3184 3.3184
0.0000 0.0000 0.0000
```

Values from the calculation:
- energy relative to the lowest polymorph listed for this composition (eV per atom) = 0.0000
- space group = Pm-3m, No. 221


[2]
Here is a relaxed structure of KAl4Te from Alexandria. Energies are from PBE.

Cell and atoms, written as POSCAR:
```
KAl4Te
1.0
0.0000 4.1384 4.1384
4.1384 0.0000 4.1384
4.1384 4.1384 0.0000
K Al Te
1 4 1
Cartesian
0.0000 0.0000 0.0000
3.0956 3.0956 3.0956
5.1811 5.1811 3.0956
5.1811 3.0956 5.1811
3.0956 5.1811 5.1811
6.2076 6.2076 6.2076
```

Values from the calculation:
- space group = F-43m, No. 216


[3]
Here is a relaxed structure of KAlTe2 from Alexandria. Energies are from PBE.

Cell and atoms, written as POSCAR:
```
KAlTe2
1.0
4.8086 0.0000 0.0000
0.0000 3.8990 0.0000
-1.2844 0.0000 7.9084
K Al Te
1 1 2
Cartesian
0.0000 0.0000 0.0000
1.7621 0.0000 3.9542
1.1513 1.9495 5.7244
2.3729 1.9495 2.1841
```

Values from the calculation:
- space group = P2/m, No. 10


[4]
Here is a relaxed structure of KAl2Te from Alexandria. Energies are from PBE.

Cell and atoms, written as POSCAR:
```
KAl2Te
1.0
8.8175 0.0000 0.0000
0.0000 4.0200 0.0000
-1.1627 0.0000 7.2143
K Al Te
2 4 2
Cartesian
0.0000 0.0000 0.0000
4.4088 2.0100 0.0000
1.0132 2.0100 2.9470
2.8010 0.0000 2.5193
5.4220 0.0000 2.9470
7.2097 2.0100 2.5193
1.4562 0.0000 4.9096
5.8649 2.0100 4.9096
```

Values from the calculation:
- space group = Cm, No. 8


[5]
Here is a relaxed structure of KAl2Te from Alexandria. Energies are from PBE.

Cell and atoms, written as POSCAR:
```
KAl2Te
1.0
3.8368 0.0000 0.0000
0.0000 3.8368 0.0000
0.0000 0.0000 7.4919
K Al Te
1 2 1
Cartesian
0.0000 0.0000 0.0000
0.0000 0.0000 3.9537
1.9184 1.9184 5.0800
1.9184 1.9184 2.3804
```

Values from the calculation:
- space group = P4mm, No. 99


[6]
Here is a relaxed structure of K2AlTe from Alexandria. Energies are from PBE.

Cell and atoms, written as POSCAR:
```
K2AlTe
1.0
5.2452 0.0000 0.0000
0.0000 5.2452 0.0000
0.0000 0.0000 23.2483
K Al Te
8 4 4
Cartesian
1.2406 1.3113 2.9060
1.3113 3.8632 8.7181
1.3113 4.0046 20.3422
1.3820 1.3113 14.5302
3.8632 3.9339 14.5302
3.9339 1.2406 20.3422
3.9339 1.3820 8.7181
4.0046 3.9339 2.9060
0.0000 0.0000 11.6241
0.0000 2.6226 17.4362
2.6226 0.0000 5.8121
2.6226 2.6226 0.0000
0.0000 0.0000 0.0000
0.0000 2.6226 5.8121
2.6226 0.0000 17.4362
2.6226 2.6226 11.6241
```

Values from the calculation:
- energy relative to the lowest polymorph listed for this composition (eV per atom) = 0.3619
- space group = I-42d, No. 122


[7]
Here is a relaxed structure of K2AlTe from Alexandria. Energies are from PBE.

Cell and atoms, written as POSCAR:
```
K2AlTe
1.0
8.2517 0.0000 0.0000
0.0000 8.2517 0.0000
0.0000 0.0000 8.2517
K Al Te
8 4 4
Cartesian
0.0000 0.0000 0.0000
0.0000 4.1258 4.1258
2.0629 2.0629 2.0629
2.0629 6.1887 6.1887
4.1258 0.0000 4.1258
4.1258 4.1258 0.0000
6.1887 2.0629 6.1887
6.1887 6.1887 2.0629
0.0000 0.0000 4.1258
0.0000 4.1258 0.0000
4.1258 0.0000 0.0000
4.1258 4.1258 4.1258
2.0629 2.0629 6.1887
2.0629 6.1887 2.0629
6.1887 2.0629 2.0629
6.1887 6.1887 6.1887
```

Values from the calculation:
- energy relative to the lowest polymorph listed for this composition (eV per atom) = 0.2522
- space group = F-43m, No. 216


[8]
Here is a relaxed structure of K2AlTe from Alexandria. Energies are from PBE.

Cell and atoms, written as POSCAR:
```
K2AlTe
1.0
8.3372 0.0000 0.0000
0.0000 8.3372 0.0000
0.0000 0.0000 8.3372
K Al Te
8 4 4
Cartesian
2.0843 2.0843 2.0843
2.0843 2.0843 6.2529
2.0843 6.2529 2.0843
2.0843 6.2529 6.2529
6.2529 2.0843 2.0843
6.2529 2.0843 6.2529
6.2529 6.2529 2.0843
6.2529 6.2529 6.2529
0.0000 0.0000 0.0000
0.0000 4.1686 4.1686
4.1686 0.0000 4.1686
4.1686 4.1686 0.0000
0.0000 0.0000 4.1686
0.0000 4.1686 0.0000
4.1686 0.0000 0.0000
4.1686 4.1686 4.1686
```

Values from the calculation:
- energy relative to the lowest polymorph listed for this composition (eV per atom) = 0.2365
- space group = Fm-3m, No. 225


[9]
Here is a relaxed structure of KAl2Te from Alexandria. Energies are from PBE.

Cell and atoms, written as POSCAR:
```
KAl2Te
1.0
4.5318 0.0000 0.0000
0.0000 4.5318 0.0000
0.0000 0.0000 10.9754
K Al Te
2 4 2
Cartesian
0.0000 0.0000 0.0000
2.2659 2.2659 5.4877
0.0000 2.2659 2.7439
0.0000 2.2659 8.2316
2.2659 0.0000 2.7439
2.2659 0.0000 8.2316
0.0000 0.0000 5.4877
2.2659 2.2659 0.0000
```

Values from the calculation:
- space group = I4/mmm, No. 139


[10]
Here is a relaxed structure of K3Al5Te12 from Alexandria. Energies are from PBE.

Cell and atoms, written as POSCAR:
```
K3Al5Te12
1.0
-8.7897 8.7897 8.7897
8.7897 -8.7897 8.7897
8.7897 8.7897 -8.7897
K Al Te
12 20 48
Cartesian
4.3948 2.1974 0.0000
8.7897 4.3948 -2.1974
2.1974 0.0000 4.3948
10.9871 0.0000 4.3948
0.0000 4.3948 2.1974
4.3948 -2.1974 8.7897
4.3948 10.9871 0.0000
8.7897 4.3948 6.5923
-2.1974 8.7897 4.3948
6.5923 8.7897 4.3948
0.0000 4.3948 10.9871
4.3948 6.5923 8.7897
0.0000 0.0000 0.0000
4.3948 4.3948 -4.3948
4.3948 -4.3948 4.3948
8.7897 0.0000 0.0000
13.1845 2.1974 0.0000
8.7897 -4.3948 6.5923
6.5923 8.7897 -4.3948
6.5923 0.0000 4.3948
4.3948 6.5923 0.0000
8.7897 4.3948 2.1974
-4.3948 4.3948 4.3948
0.0000 8.7897 0.0000
0.0000 0.0000 8.7897
4.3948 4.3948 4.3948
0.0000 4.3948 6.5923
4.3948 2.1974 8.7897
2.1974 8.7897 4.3948
2.1974 0.0000 13.1845
0.0000 13.1845 2.1974
-4.3948 6.5923 8.7897
2.4843 -0.7322 1.1069
10.7002 5.5018 -5.1270
8.0575 -1.1069 2.4843
13.9167 -1.9105 3.2879
1.1069 2.4843 -0.7322
12.0776 3.6627 -1.9105
11.2740 0.7322 1.1069
10.7002 -3.2879 5.1270
5.5018 5.1270 -1.9105
7.6827 2.4843 0.7322
-0.7322 1.1069 2.4843
5.1270 -1.9105 5.5018
8.0575 7.6827 -2.4843
5.1270 1.9105 3.2879
7.6827 -2.4843 8.0575
5.5018 -5.1270 10.7002
2.4843 8.0575 -1.1069
10.7002 3.2879 3.6627
3.2879 5.1270 1.9105
9.8966 6.3054 0.7322
5.1270 10.7002 -3.2879
8.0575 1.1069 6.3054
1.9105 3.2879 5.1270
2.4843 0.7322 7.6827
6.3054 8.0575 1.1069
6.8791 5.5018 3.6627
0.7322 7.6827 2.4843
3.6627 -1.9105 12.0776
-1.1069 2.4843 8.0575
5.5018 3.6627 6.8791
-1.9105 5.5018 5.1270
6.3054 0.7322 9.8966
3.2879 13.9167 -1.9105
1.1069 11.2740 0.7322
3.6627 6.8791 5.5018
0.7322 1.1069 11.2740
3.6627 10.7002 3.2879
9.5218 7.6827 6.3054
1.1069 6.3054 8.0575
3.2879 3.6627 10.7002
-1.9105 12.0776 3.6627
-2.4843 8.0575 7.6827
-3.2879 5.1270 10.7002
7.6827 6.3054 9.5218
-5.1270 10.7002 5.5018
0.7322 9.8966 6.3054
-1.9105 3.2879 13.9167
6.3054 9.5218 7.6827
```

Values from the calculation:
- space group = Ia-3d, No. 230


[11]
Here is a relaxed structure of KAlTe2 from Alexandria. Energies are from PBE.

Cell and atoms, written as POSCAR:
```
KAlTe2
1.0
9.0850 0.0000 0.0000
0.0000 11.6428 0.0000
-3.5205 0.0000 5.7760
K Al Te
4 4 8
Cartesian
-0.8801 1.4645 1.4440
-2.6404 10.1784 4.3320
1.9021 4.3570 4.3320
3.6624 7.2859 1.4440
-2.6404 5.7699 4.3320
-0.8801 5.8729 1.4440
3.6624 0.0515 1.4440
1.9021 11.5914 4.3320
1.2433 4.4174 0.8147
-0.5170 7.2255 3.7026
-0.2213 1.4041 4.9613
1.5390 10.2388 2.0733
4.0255 1.4041 3.7026
5.7857 10.2388 0.8147
6.0814 4.4174 2.0733
4.3212 7.2255 4.9613
```

Values from the calculation:
- space group = C2/c, No. 15


[12]
Here is a relaxed structure of KAl2Te from Alexandria. Energies are from PBE.

Cell and atoms, written as POSCAR:
```
KAl2Te
1.0
6.5171 0.0000 0.0000
0.0000 11.9020 0.0000
-1.5215 0.0000 2.7971
K Al Te
2 4 2
Cartesian
0.0000 0.0000 0.0000
3.2586 5.9510 0.0000
1.6293 2.9755 0.0000
1.6293 8.9265 0.0000
4.8878 2.9755 0.0000
4.8878 8.9265 0.0000
0.0000 5.9510 0.0000
3.2586 0.0000 0.0000
```

Values from the calculation:
- space group = C2/m, No. 12


[13]
Here is a relaxed structure of KAl3Te from Alexandria. Energies are from PBE.

Cell and atoms, written as POSCAR:
```
KAl3Te
1.0
5.8337 0.0000 0.0000
0.0000 5.8337 0.0000
0.0000 0.0000 5.8337
K Al Te
1 3 1
Cartesian
0.0000 0.0000 0.0000
0.0000 0.0000 2.9169
0.0000 2.9169 0.0000
2.9169 0.0000 0.0000
2.9169 2.9169 2.9169
```

Values from the calculation:
- energy relative to the lowest polymorph listed for this composition (eV per atom) = 0.6725
- space group = Pm-3m, No. 221


[14]
Here is a relaxed structure of KAl2Te from Alexandria. Energies are from PBE.

Cell and atoms, written as POSCAR:
```
KAl2Te
1.0
3.1654 0.0000 0.0000
0.0000 5.6523 0.0000
-0.6300 0.0000 6.1554
K Al Te
1 2 1
Cartesian
0.0000 0.0000 0.0000
0.6332 2.8262 4.3056
1.9022 2.8262 1.8498
1.2677 0.0000 3.0777
```

Values from the calculation:
- space group = P2/m, No. 10


[15]
Here is a relaxed structure of KAlTe from Alexandria. Energies are from PBE.

Cell and atoms, written as POSCAR:
```
KAlTe
1.0
5.5294 0.0000 0.0000
0.0000 5.5294 0.0000
0.0000 0.0000 7.2243
K Al Te
2 2 2
Cartesian
1.3824 1.3824 1.2047
4.1471 4.1471 6.0195
1.3824 4.1471 3.6121
4.1471 1.3824 3.6121
1.3824 1.3824 4.8658
4.1471 4.1471 2.3584
```

Values from the calculation:
- energy relative to the lowest polymorph listed for this composition (eV per atom) = 0.1507
- space group = P4/nmm, No. 129


[16]
Here is a relaxed structure of KAl2Te from Alexandria. Energies are from PBE.

Cell and atoms, written as POSCAR:
```
KAl2Te
1.0
4.6233 0.0000 0.0000
0.0000 4.6233 0.0000
0.0000 0.0000 5.1476
K Al Te
1 2 1
Cartesian
0.0000 0.0000 0.0000
0.0000 2.3117 2.5738
2.3117 0.0000 2.5738
2.3117 2.3117 0.0000
```

Values from the calculation:
- space group = P4/mmm, No. 123


[17]
Here is a relaxed structure of K2AlTe from Alexandria. Energies are from PBE.

Cell and atoms, written as POSCAR:
```
K2AlTe
1.0
7.4789 0.0000 0.0000
0.0000 10.7083 0.0000
0.0000 0.0000 3.3422
K Al Te
4 2 2
Cartesian
1.8697 2.6771 0.0000
1.8697 8.0312 0.0000
5.6092 2.6771 0.0000
5.6092 8.0312 0.0000
0.0000 0.0000 1.6711
3.7394 5.3541 1.6711
0.0000 5.3541 1.6711
3.7394 0.0000 1.6711
```

Values from the calculation:
- energy relative to the lowest polymorph listed for this composition (eV per atom) = 0.2310
- space group = Cmmm, No. 65


[18]
Here is a relaxed structure of K2AlTe from Alexandria. Energies are from PBE.

Cell and atoms, written as POSCAR:
```
K2AlTe
1.0
5.2228 0.0000 0.0000
0.0000 5.2228 0.0000
0.0000 0.0000 5.0078
K Al Te
2 1 1
Cartesian
0.0000 2.6114 0.0000
2.6114 0.0000 0.0000
0.0000 0.0000 2.5039
2.6114 2.6114 2.5039
```

Values from the calculation:
- energy relative to the lowest polymorph listed for this composition (eV per atom) = 0.1169
- space group = P4/mmm, No. 123


[19]
Here is a relaxed structure of KAlTe2 from Alexandria. Energies are from PBE.

Cell and atoms, written as POSCAR:
```
KAlTe2
1.0
8.7534 0.0000 0.0000
0.0000 8.7534 0.0000
0.0000 0.0000 7.0181
K Al Te
4 4 8
Cartesian
0.0000 0.0000 1.7545
0.0000 0.0000 5.2636
4.3767 4.3767 1.7545
4.3767 4.3767 5.2636
0.0000 4.3767 1.7545
0.0000 4.3767 5.2636
4.3767 0.0000 1.7545
4.3767 0.0000 5.2636
1.4253 2.9514 0.0000
1.4253 5.8020 3.5090
2.9514 1.4253 3.5090
2.9514 7.3281 0.0000
5.8020 1.4253 0.0000
5.8020 7.3281 3.5090
7.3281 2.9514 3.5090
7.3281 5.8020 0.0000
```

Values from the calculation:
- space group = I4/mcm, No. 140


[20]
Here is a relaxed structure of KAlTe2 from Alexandria. Energies are from PBE.

Cell and atoms, written as POSCAR:
```
KAlTe2
1.0
17.2964 0.0000 0.0000
0.0000 4.4065 0.0000
0.0000 0.0000 9.0537
K Al Te
4 4 8
Cartesian
2.8547 1.1016 0.6291
5.7935 3.3049 5.1559
11.5029 1.1016 3.8978
14.4416 3.3049 8.4246
0.8781 3.3049 5.7431
7.7700 1.1016 1.2162
9.5263 3.3049 7.8375
16.4182 1.1016 3.3106
0.8040 3.3049 3.0291
2.9672 3.3049 7.0829
5.6810 1.1016 2.5560
7.8442 1.1016 7.5559
9.4522 3.3049 1.4978
11.6154 3.3049 6.4977
14.3291 1.1016 1.9708
16.4923 1.1016 6.0246
```

Values from the calculation:
- space group = Pnma, No. 62


[21]
Here is a relaxed structure of KAlTe2 from Alexandria. Energies are from PBE.

Cell and atoms, written as POSCAR:
```
KAlTe2
1.0
4.9894 0.0000 0.0000
0.0000 4.9894 0.0000
0.0000 0.0000 9.6376
K Al Te
2 2 4
Cartesian
0.0000 0.0000 0.0000
2.4947 2.4947 4.8188
0.0000 0.0000 4.8188
2.4947 2.4947 0.0000
0.0000 2.4947 2.4094
0.0000 2.4947 7.2282
2.4947 0.0000 2.4094
2.4947 0.0000 7.2282
```

Values from the calculation:
- space group = I4/mmm, No. 139


[22]
Here is a relaxed structure of KAlTe2 from Alexandria. Energies are from PBE.

Cell and atoms, written as POSCAR:
```
KAlTe2
1.0
4.3260 0.0000 0.0000
0.0000 4.2690 0.0000
0.0000 0.0000 15.6624
K Al Te
2 2 4
Cartesian
0.0000 0.0000 0.0000
0.0000 2.1345 7.8312
2.1630 0.0000 3.5293
2.1630 2.1345 11.3605
0.0000 0.0000 5.0620
0.0000 2.1345 12.8932
2.1630 0.0000 9.7222
2.1630 2.1345 1.8910
```

Values from the calculation:
- space group = Amm2, No. 38


[23]
Here is a relaxed structure of K2AlTe from Alexandria. Energies are from PBE.

Cell and atoms, written as POSCAR:
```
K2AlTe
1.0
3.9652 0.0000 0.0000
0.0000 3.9652 0.0000
0.0000 0.0000 10.2487
K Al Te
2 1 1
Cartesian
0.0000 0.0000 0.0000
1.9826 1.9826 4.2275
1.9826 1.9826 7.8285
0.0000 0.0000 6.6287
```

Values from the calculation:
- energy relative to the lowest polymorph listed for this composition (eV per atom) = 0.1629
- space group = P4mm, No. 99


[24]
Here is a relaxed structure of KAlTe from Alexandria. Energies are from PBE.

Cell and atoms, written as POSCAR:
```
KAlTe
1.0
3.9016 0.0000 0.0000
0.0000 3.9016 0.0000
0.0000 0.0000 12.6224
K Al Te
2 2 2
Cartesian
0.0000 0.0000 0.0000
1.9508 1.9508 6.3112
0.0000 0.0000 8.8774
1.9508 1.9508 2.5662
0.0000 0.0000 3.7721
1.9508 1.9508 10.0833
```

Values from the calculation:
- energy relative to the lowest polymorph listed for this composition (eV per atom) = 0.0686
- space group = I4mm, No. 107


In order of appearance, ρ = 1.544 3.217 3.598 2.866 3.322 2.417 2.752 2.668 3.251 4.361 3.493 3.378 2.071 3.327 2.912 3.330 2.888 2.830 3.968 3.093 4.447 3.689 2.399 3.348 g/cm3.
In order of appearance, E_tot = -2.13 -2.99 -3.30 -3.10 -3.04 -2.29 -2.40 -2.41 -2.78 -3.32 -3.57 -2.80 -1.77 -2.84 -2.90 -2.85 -2.42 -2.53 -3.57 -3.44 -2.90 -3.49 -2.49 -2.98 eV/atom.